[1]
Material: Na2TbThSe4
Method: DFT, PBE
State: optimized geometry

Its uncorrected formation energy is -12.7 eV/f.u. The calculated total energy comes out at -41.3 eV/cell.

The space group is P2/m (No. 10) and the conventional cell measures 7.228, 4.154 and 7.497 Å, with angles of 90.00, 108.56 and 90.00 degrees. The asymmetric unit holds Na at (0.000, 0.000, 0.000), Na at (0.500, 0.500, 0.000), Tb at (0.000, 0.500, 0.500), Th at (0.500, 0.000, 0.500), Se at (0.242, 0.000, 0.735) and Se at (0.248, 0.500, 0.259).

[2]
Material: NbIF3
Method: DFT, PBE
State: optimized geometry

Its uncorrected formation energy is -10.7 eV/f.u. The calculated total energy comes out at -111.9 eV/cell.

The space group is P-1 (No. 2) and the conventional cell measures 6.596, 8.184 and 8.235 Å, with angles of 107.59, 106.22 and 91.88 degrees. The asymmetric unit holds Nb at (0.133, 0.127, 0.132), Nb at (0.336, 0.533, 0.809), I at (0.250, 0.188, 0.519), I at (0.264, 0.640, 0.525), F at (0.061, 0.072, 0.854), F at (0.107, 0.411, 0.841), F at (0.116, 0.723, 0.861), F at (0.351, 0.326, 0.136), F at (0.366, 0.996, 0.143) and F at (0.452, 0.629, 0.094).

[3]
Material: NaLi2TbF6
Method: DFT, PBE
State: optimized geometry

Its uncorrected formation energy is -33.5 eV/f.u. The calculated total energy comes out at -163.5 eV/cell.

The space group is R3 (No. 146, hexagonal axes) and the conventional cell measures 5.4685, 5.4685 and 14.3067 Å, with angles of 90.00, 90.00 and 120.00 degrees. The asymmetric unit holds Na at (0.0000, 0.0000, 0.0000), Li at (0.0000, 0.0000, 0.2828), Li at (0.0000, 0.0000, 0.7825), Tb at (0.0000, 0.0000, 0.4973), F at (0.0073, 0.3801, 0.5498) and F at (0.0187, 0.6140, 0.0542).

What is the formula in the first record? Na2TbThSe4